Record 1
A relaxed SrCl2O crystal. Source: Alexandria, functional PBE.

a b c (Å): 5.1730 5.1730 5.1730
angles (deg): 55.85 55.85 55.85
Last column: nearest neighbours and their distance in Å.
Fractional positions:
Sr 0.0000 0.0000 0.0000  8 Cl 3.04-3.16
O 0.5000 0.5000 0.5000  6 Cl 2.96
Cl 0.7583 0.7583 0.7583  3 O 2.96, 4 Sr 3.04-3.16
Cl 0.2417 0.2417 0.2417  3 O 2.96, 4 Sr 3.04-3.16

M_tot   2.00 Bohr magnetons per cell
Relative energy among the computed polymorphs   174 meV/atom
Space group   R-3m, No. 166
Uncorrected formation energy   -1.178 eV per atom

Record 2
A relaxed Sr4Cl6O crystal. Source: Alexandria, functional PBE.

a b c (Å): 9.5766 9.5766 7.2970
angles (deg): 90.00 90.00 120.00
Last column: nearest neighbours and their distance in Å.
Fractional positions:
Sr 0.8030 0.1970 0.3957  1 O 2.39
Sr 0.8030 0.6060 0.3957  1 O 2.39
Sr 0.3940 0.1970 0.3957  1 O 2.39
Sr 0.1970 0.8030 0.8956  1 O 2.39
Sr 0.1970 0.3940 0.8956  1 O 2.39
Sr 0.6060 0.8030 0.8956  1 O 2.39
Sr 0.3333 0.6667 0.3266  1 O 2.38
Sr 0.6667 0.3333 0.8266  1 O 2.38
O 0.3333 0.6667 0.0009  4 Sr 2.38-2.39
O 0.6667 0.3333 0.5009  4 Sr 2.38-2.39
Cl 0.1413 0.8587 0.2843  4 Sr 2.98-3.20
Cl 0.1413 0.2826 0.2843  4 Sr 2.98-3.20
Cl 0.7174 0.8587 0.2843  4 Sr 2.98-3.20
Cl 0.8587 0.1413 0.7843  4 Sr 2.98-3.20
Cl 0.8587 0.7174 0.7843  4 Sr 2.98-3.20
Cl 0.2826 0.1413 0.7843  4 Sr 2.98-3.20
Cl 0.5345 0.4655 0.1082  5 Sr 3.00-3.33
Cl 0.5346 0.0691 0.1082  5 Sr 3.00-3.33
Cl 0.9309 0.4654 0.1082  5 Sr 3.00-3.33
Cl 0.4655 0.5346 0.6082  5 Sr 3.00-3.33
Cl 0.4654 0.9309 0.6082  5 Sr 3.00-3.33
Cl 0.0691 0.5346 0.6082  5 Sr 3.00-3.33

M_tot   0.26 Bohr magnetons per cell
Space group   P6_3mc, No. 186
Uncorrected formation energy   -2.573 eV per atom

Record 3
A relaxed Sr9Cl14O2 crystal. Source: Alexandria, functional PBE.

a b c (Å): 8.3820 8.3820 11.7036
angles (deg): 90.00 90.00 120.00
Last column: nearest neighbours and their distance in Å.
Fractional positions:
Sr 0.2944 0.9182 0.3369  1 O 2.44
Sr 0.0818 0.3761 0.3369  1 O 2.44
Sr 0.3333 0.6667 0.0578  1 O 2.43
Sr 0.0000 0.0000 0.0000  8 Cl 2.99-3.09
Sr 0.3761 0.2944 0.6631  1 O 2.44
Sr 0.6239 0.7056 0.3369  1 O 2.44
Sr 0.6667 0.3333 0.9422  1 O 2.43
Sr 0.9182 0.6239 0.6631  1 O 2.44
Sr 0.7056 0.0818 0.6631  1 O 2.44
Cl 0.0379 0.6756 0.9062  4 Sr 2.97-3.09
Cl 0.3120 0.9212 0.5956  4 Sr 2.98-3.08
Cl 0.0788 0.3909 0.5956  4 Sr 2.98-3.08
Cl 0.0000 0.0000 0.2555  4 Sr 2.99-3.03
Cl 0.0000 0.0000 0.7445  4 Sr 2.99-3.03
Cl 0.3244 0.3623 0.9062  4 Sr 2.97-3.09
Cl 0.6377 0.9621 0.9062  4 Sr 2.97-3.09
Cl 0.3909 0.3120 0.4044  4 Sr 2.98-3.08
Cl 0.6091 0.6880 0.5956  4 Sr 2.98-3.08
Cl 0.3623 0.0379 0.0938  4 Sr 2.97-3.09
Cl 0.6756 0.6377 0.0938  4 Sr 2.97-3.09
Cl 0.9212 0.6091 0.4044  4 Sr 2.98-3.08
Cl 0.6880 0.0788 0.4044  4 Sr 2.98-3.08
Cl 0.9621 0.3244 0.0938  4 Sr 2.97-3.09
O 0.3333 0.6667 0.2655  4 Sr 2.43-2.44
O 0.6667 0.3333 0.7345  4 Sr 2.43-2.44

M_tot   0.30 Bohr magnetons per cell
Space group   P-3, No. 147
Uncorrected formation energy   -2.551 eV per atom

Record 4
A relaxed SrCl2O crystal. Source: Alexandria, functional PBE.

a b c (Å): 4.0017 4.0017 11.1598
angles (deg): 79.67 79.67 90.00
Last column: nearest neighbours and their distance in Å.
Fractional positions:
Sr 0.0000 0.0000 0.0000  4 O 2.83, 4 Cl 3.05
Sr 0.7500 0.2500 0.5000  4 O 2.83, 4 Cl 3.05
O 0.5000 0.5000 0.0000  4 Sr 2.83, 4 Cl 3.05
O 0.2500 0.7500 0.5000  4 Sr 2.83, 4 Cl 3.05
Cl 0.6251 0.1250 0.2500  4 Cl 2.83, 2 Sr 3.05, 2 O 3.05
Cl 0.1249 0.6250 0.2500  4 Cl 2.83, 2 Sr 3.05, 2 O 3.05
Cl 0.3750 0.3749 0.7500  4 Cl 2.83, 2 Sr 3.05, 2 O 3.05
Cl 0.8750 0.8751 0.7500  4 Cl 2.83, 2 Sr 3.05, 2 O 3.05

M_tot   2.48 Bohr magnetons per cell
Relative energy among the computed polymorphs   294 meV/atom
Space group   I-42d, No. 122
Uncorrected formation energy   -1.057 eV per atom

Record 5
A relaxed SrCl2O crystal. Source: Alexandria, functional PBE.

a b c (Å): 4.4563 4.5346 5.6545
angles (deg): 113.64 113.21 90.00
Last column: nearest neighbours and their distance in Å.
Fractional positions:
Sr 0.5478 0.5478 0.0956  2 O 2.46
Cl 0.0109 0.0109 0.0219  2 O 2.66
Cl 0.7812 0.2812 0.5624  4 Cl 3.12-3.37, 4 Sr 3.15-3.34, 4 O 3.37
O 0.1601 0.6601 0.3201  2 Sr 2.46, 2 Cl 2.66

M_tot   1.99 Bohr magnetons per cell
Relative energy among the computed polymorphs   158 meV/atom
Space group   Imm2, No. 44
Uncorrected formation energy   -1.193 eV per atom

Record 6
A relaxed Sr2ClO crystal. Source: Alexandria, functional PBE.

a b c (Å): 7.4085 6.6765 10.3867
angles (deg): 95.13 90.00 90.00
Last column: nearest neighbours and their distance in Å.
Fractional positions:
Sr 0.7911 0.9761 0.9158  2 O 2.36-2.41
Sr 0.2089 0.0239 0.0842  2 O 2.36-2.41
Sr 0.7911 0.5239 0.5842  2 O 2.36-2.41
Sr 0.2089 0.4761 0.4158  2 O 2.36-2.41
Sr 0.8034 0.4497 0.1655  2 O 2.38-2.40
Sr 0.1966 0.5503 0.8345  2 O 2.38-2.40
Sr 0.8034 0.0503 0.3345  2 O 2.38-2.40
Sr 0.1966 0.9497 0.6655  2 O 2.38-2.40
Cl 0.1952 0.9696 0.3771  3 Sr 2.99-3.10
Cl 0.8048 0.0304 0.6229  3 Sr 2.99-3.10
Cl 0.1952 0.5304 0.1229  3 Sr 2.99-3.10
Cl 0.8048 0.4696 0.8771  3 Sr 2.99-3.10
O 0.1049 0.6052 0.6211  4 Sr 2.36-2.41
O 0.8951 0.3948 0.3789  4 Sr 2.36-2.41
O 0.1049 0.8948 0.8789  4 Sr 2.36-2.41
O 0.8951 0.1052 0.1211  4 Sr 2.36-2.41

M_tot   0.16 Bohr magnetons per cell
Relative energy among the computed polymorphs   0 meV/atom
Space group   P2/c, No. 13
Uncorrected formation energy   -2.171 eV per atom

Number 1: mass density 3.3 Mg/m³. Number 2: mass density 3.3 Mg/m³. Number 3: mass density 3.1 Mg/m³. Number 4: mass density 3.4 Mg/m³. Number 5: mass density 3.1 Mg/m³. Number 6: mass density 2.9 Mg/m³.